[1]
Compound: K2TlF5
Source: Alexandria
Functional: PBE
Structure: optimized geometry

a b c (Å): 6.949 6.949 6.053
angles (deg): 114.26 114.26 85.01
Fractional positions:
K 0.227 0.773 0.000
K 0.773 0.227 0.000
Tl 0.823 0.823 0.273
F 0.008 0.574 0.132
F 0.043 0.043 0.306
F 0.574 0.008 0.132
F 0.574 0.574 0.106
F 0.902 0.902 0.685

**Space-group type**: No. 8
**Uncorrected formation energy**: -1772.6 kJ/mol of formula units
**Total magnetic moment**: 0.00 μB per formula unit

***

[2]
Compound: BeTc2Hg
Source: Alexandria
Functional: PBE
Structure: optimized geometry

a b c (Å): 2.767 2.767 8.780
angles (deg): 90.00 90.00 115.08
Fractional positions:
Be 0.000 0.000 0.000
Tc 0.000 0.000 0.549
Tc 0.500 0.500 0.790
Hg 0.500 0.500 0.252

**Energy of formation from the pure elements**: 0.4417 eV per atom
**Space-group type**: No. 35
**Relative energy among the computed polymorphs**: 305.5 meV per atom
**Total magnetic moment**: 0.00 μB per formula unit

***

Calculated total energy? In order: -32.3, -23.0 eV for the cell shown.